5
Lattice="4.493 0.000 0.000 0.000 4.493 0.000 0.000 0.000 5.365" Properties=species:S:1:pos:R:3 comment="InTcP2C (PBE-GGA, optimized geometry)" volume_a3_per_fu=108.3 final_energy_ev_per_atom=-5.19 sg=P4/mmm ef_ev_per_atom=1.441 density_g_cm3=4.4 pbc="T T T"
In 0.000 0.000 0.000
Tc 0.000 0.000 2.682
P 0.000 2.247 2.682
P 2.247 0.000 2.682
C 2.247 2.247 0.000